This record from the Alexandria database describes a geometry-optimized Ho2Zn5Cd structure. The functional is PBE.

Values from the calculation:
- V: 315.4 Å³ per cell
- Electronic total energy: -2.34 eV/atom
- DFT formation energy: -222 kJ/mol of formula units

Structure (POSCAR):
```
Ho2Zn5Cd
1.0
-0.589 4.040 1.335
-4.038 -4.724 5.604
7.565 -0.547 4.991
Ho Zn Cd
4 10 2
Cartesian
2.784 -0.010 8.167
0.154 -1.221 3.763
0.000 0.000 0.000
3.783 -0.273 2.495
5.118 -1.504 6.809
-2.180 0.273 5.121
2.972 -1.349 5.393
-0.034 0.118 6.536
4.401 -2.417 9.253
-1.463 1.186 2.676
0.920 -2.165 6.957
2.018 0.934 4.973
4.430 1.017 5.786
-1.492 -2.248 6.144
1.785 -2.837 9.372
1.153 1.606 2.558
```